First-principles (PBE-GGA) data for an optimized crystal structure of Ba2CoRu, as listed in the Alexandria database.

Calculated values
Relative energy among the computed polymorphs in meV/atom: 128
Magnetization in μB/f.u.: 0.01
D(E_F) in states/eV/atom: 1.40
Uncorrected energy in eV per formula unit: -18.91

a = 4.205 Å, b = 4.878 Å, c = 11.845 Å
α = 90.00°, β = 90.00°, γ = 90.00°
Space group Amm2 (No. 38)
Symmetry-distinct sites (fractional):
Ba 0.000 0.000 0.000 [2 per cell]
Ba 0.500 0.000 0.282 [2 per cell]
Co 0.000 0.000 0.680 [2 per cell]
Ru 0.500 0.000 0.606 [2 per cell]